(1)
ThFeSe (PBE, relaxed); uncorrected energy = -43.18 eV per cell; symmetry = No. 164; E_form (uncorrected) = -741 meV per atom; magnetization = 1.0 μB/f.u.
1.0
-0.763 -2.648 -2.997
3.202 -0.566 2.450
-6.264 -5.912 6.819
Th Fe Se
2 2 2
direct
0.000 0.000 0.815
0.000 0.000 0.185
0.333 0.667 0.993
0.667 0.333 0.007
0.667 0.333 0.660
0.333 0.667 0.340


(2)
Ac2Pm2Te7 (PBE, relaxed); uncorrected energy = -52.52 eV per cell; symmetry = No. 65; E_form (uncorrected) = -1165 meV per atom; magnetization = 0.0 μB/f.u.
1.0
-0.126 0.529 -7.985
5.428 -4.198 -0.364
-4.876 -6.336 0.375
Ac Pm Te
2 2 7
direct
0.755 0.500 0.755
0.245 0.500 0.245
0.730 0.000 0.270
0.270 0.000 0.730
0.000 0.255 0.500
0.500 0.745 0.000
0.000 0.745 0.500
0.500 0.255 0.000
0.000 0.000 0.000
0.500 0.755 0.500
0.500 0.245 0.500


(3)
Pm5TmGe3 (PBE, relaxed); uncorrected energy = -93.29 eV per cell; symmetry = No. 193; formation energy from the elements = -507 meV/atom; magnetization = 2.3 μB/f.u.
1.0
6.498 0.000 0.000
0.000 9.134 0.000
0.000 -4.567 7.909
Pm Tm Ge
10 2 6
direct
0.000 0.667 0.333
0.500 0.333 0.667
0.000 0.333 0.667
0.500 0.667 0.333
0.750 0.670 0.670
0.750 0.000 0.330
0.750 0.330 0.000
0.250 0.330 0.330
0.250 0.000 0.670
0.250 0.670 0.000
0.000 0.000 0.000
0.500 0.000 0.000
0.750 0.334 0.334
0.750 0.000 0.666
0.750 0.666 0.000
0.250 0.666 0.666
0.250 0.000 0.334
0.250 0.334 0.000


(4)
TcOsRh2 (PBE, relaxed); uncorrected energy = -36.22 eV per cell; symmetry = No. 47; E above lowest polymorph = 0.0817 eV per atom; formation energy from the elements = 21 meV/atom; magnetization = 0.0 μB/f.u.
1.0
3.918 0.000 0.000
0.000 2.696 0.007
0.000 2.689 5.401
Os Rh Tc
1 2 1
direct
0.500 0.750 0.750
0.000 0.001 0.999
0.000 0.499 0.501
0.500 0.250 0.250


(5)
MnTc4Au (PBE, relaxed); uncorrected energy = -51.33 eV per cell; symmetry = No. 216; formation energy from the elements = 430 meV/atom; magnetization = 2.2 μB/f.u.
1.0
0.000 3.622 3.622
3.622 0.000 3.622
3.622 3.622 0.000
Mn Tc Au
1 4 1
direct
0.000 0.000 0.000
0.874 0.375 0.375
0.375 0.375 0.874
0.375 0.874 0.375
0.375 0.375 0.375
0.750 0.750 0.750


(6)
Pm3Ho2Bi3 (PBE, relaxed); uncorrected energy = -81.80 eV per cell; symmetry = No. 193; formation energy from the elements = -731 meV/atom; magnetization = 0.0 μB/f.u.
1.0
-0.901 1.356 -6.283
-3.609 -8.481 -1.313
-5.543 7.108 2.329
Pm Ho Bi
6 4 6
direct
0.750 0.246 0.000
0.750 0.754 0.754
0.750 0.000 0.246
0.250 0.754 0.000
0.250 0.246 0.246
0.250 0.000 0.754
0.000 0.333 0.667
0.500 0.667 0.333
0.000 0.667 0.333
0.500 0.333 0.667
0.750 0.607 0.000
0.750 0.393 0.393
0.750 0.000 0.607
0.250 0.393 0.000
0.250 0.607 0.607
0.250 0.000 0.393


(7)
LaDySn2 (PBE, relaxed); uncorrected energy = -20.52 eV per cell; symmetry = No. 38; formation energy from the elements = -745 meV/atom; magnetization = 0.0 μB/f.u.
1.0
4.388 0.000 -1.598
0.000 4.379 0.000
-0.188 0.000 6.301
La Dy Sn
1 1 2
direct
0.447 0.500 0.432
0.716 0.000 0.972
0.174 0.500 0.887
0.994 0.000 0.527


(8)
Sc3TlRh2 (PBE, relaxed); uncorrected energy = -40.58 eV per cell; symmetry = No. 123; formation energy from the elements = -753 meV/atom; magnetization = 0.0 μB/f.u.
1.0
3.169 0.000 0.000
0.000 3.169 0.000
0.000 0.000 11.505
Sc Tl Rh
3 1 2
direct
0.000 0.000 0.000
0.000 0.000 0.710
0.000 0.000 0.290
0.500 0.500 0.500
0.500 0.500 0.851
0.500 0.500 0.149